This record from Alexandria describes a geometry-optimized Dy4BiAs3 structure. The functional is PBE. Values from VASP.

Structure (Quantum ESPRESSO input):
```
&SYSTEM
  ibrav = 0, nat = 16, ntyp = 3
/
ATOMIC_SPECIES
Dy 162.50 Dy.upf
Bi 208.98 Bi.upf
As 74.92 As.upf
ATOMIC_POSITIONS crystal
Dy 0.000 0.000 0.176
Dy 0.000 0.000 0.324
Dy 0.000 0.000 0.676
Dy 0.000 0.000 0.824
Dy 0.333 0.667 0.059
Dy 0.333 0.667 0.441
Dy 0.667 0.333 0.559
Dy 0.667 0.333 0.941
Bi 0.333 0.667 0.250
Bi 0.667 0.333 0.750
As 0.000 0.000 0.000
As 0.000 0.000 0.500
As 0.333 0.667 0.619
As 0.333 0.667 0.881
As 0.667 0.333 0.119
As 0.667 0.333 0.381
CELL_PARAMETERS angstrom
4.169 0.000 0.000
-2.084 3.610 0.000
0.000 0.000 28.030
```

Energy of formation in eV per atom: -1.356
Theoretical density in g/cm3: 8.5
Total DFT energy (no corrections) in eV/atom: -5.8861

=====

This record from Alexandria describes a geometry-optimized Dy5BiAs4 structure. The functional is PBE. Values from VASP.

Structure (Quantum ESPRESSO input):
```
&SYSTEM
  ibrav = 0, nat = 10, ntyp = 3
/
ATOMIC_SPECIES
Dy 162.50 Dy.upf
Bi 208.98 Bi.upf
As 74.92 As.upf
ATOMIC_POSITIONS crystal
Dy 0.000 0.000 0.000
Dy 0.206 0.206 0.814
Dy 0.391 0.391 0.610
Dy 0.609 0.609 0.390
Dy 0.794 0.794 0.186
Bi 0.000 0.000 0.500
As 0.203 0.203 0.296
As 0.403 0.403 0.101
As 0.597 0.597 0.899
As 0.797 0.797 0.704
CELL_PARAMETERS angstrom
6.966 -2.082 0.000
6.966 2.082 0.000
-5.113 0.000 8.964
```

Energy of formation in eV per atom: -1.377
Theoretical density in g/cm3: 8.4
Total DFT energy (no corrections) in eV/atom: -5.9262

=====

This record from Alexandria describes a geometry-optimized Dy6BiAs4 structure. The functional is PBE. Values from VASP.

Structure (Quantum ESPRESSO input):
```
&SYSTEM
  ibrav = 0, nat = 22, ntyp = 3
/
ATOMIC_SPECIES
Dy 162.50 Dy.upf
Bi 208.98 Bi.upf
As 74.92 As.upf
ATOMIC_POSITIONS crystal
Dy 0.000 0.000 0.000
Dy 0.000 0.000 0.500
Dy 0.163 0.837 0.750
Dy 0.272 0.728 0.081
Dy 0.272 0.728 0.419
Dy 0.462 0.538 0.660
Dy 0.462 0.538 0.840
Dy 0.538 0.462 0.160
Dy 0.538 0.462 0.340
Dy 0.728 0.272 0.581
Dy 0.728 0.272 0.919
Dy 0.837 0.163 0.250
Bi 0.163 0.837 0.250
Bi 0.837 0.163 0.750
As 0.094 0.906 0.624
As 0.094 0.906 0.876
As 0.363 0.637 0.542
As 0.363 0.637 0.958
As 0.637 0.363 0.042
As 0.637 0.363 0.458
As 0.906 0.094 0.124
As 0.906 0.094 0.376
CELL_PARAMETERS angstrom
2.084 -6.766 0.000
2.084 6.766 0.000
0.000 0.000 20.861
```

Energy of formation in eV per atom: -1.288
Theoretical density in g/cm3: 8.4
Total DFT energy (no corrections) in eV/atom: -5.8418

=====

This record from Alexandria describes a geometry-optimized DyErBiAs structure. The functional is PBE. Values from VASP.

Structure (Quantum ESPRESSO input):
```
&SYSTEM
  ibrav = 0, nat = 4, ntyp = 4
/
ATOMIC_SPECIES
Dy 162.50 Dy.upf
Er 167.26 Er.upf
Bi 208.98 Bi.upf
As 74.92 As.upf
ATOMIC_POSITIONS crystal
Dy 0.000 0.000 0.000
Er 0.186 0.186 0.186
Bi 0.761 0.761 0.761
As 0.590 0.590 0.590
CELL_PARAMETERS angstrom
2.102 1.214 7.322
-2.102 1.214 7.322
0.000 -2.428 7.322
```

Energy of formation in eV per atom: -1.070
Theoretical density in g/cm3: 9.1
Total DFT energy (no corrections) in eV/atom: -5.4936

=====

This record from Alexandria describes a geometry-optimized DyHoBiAs structure. The functional is PBE. Values from VASP.

Structure (Quantum ESPRESSO input):
```
&SYSTEM
  ibrav = 0, nat = 4, ntyp = 4
/
ATOMIC_SPECIES
Dy 162.50 Dy.upf
Ho 164.93 Ho.upf
Bi 208.98 Bi.upf
As 74.92 As.upf
ATOMIC_POSITIONS crystal
Dy 0.000 0.000 0.000
Ho 0.186 0.186 0.186
Bi 0.761 0.761 0.761
As 0.590 0.590 0.590
CELL_PARAMETERS angstrom
2.107 1.216 7.336
-2.107 1.216 7.336
0.000 -2.433 7.336
```

Energy of formation in eV per atom: -1.076
Theoretical density in g/cm3: 9.0
Total DFT energy (no corrections) in eV/atom: -5.5041

=====

This record from Alexandria describes a geometry-optimized LaDyBiAs structure. The functional is PBE. Values from VASP.

Structure (Quantum ESPRESSO input):
```
&SYSTEM
  ibrav = 0, nat = 4, ntyp = 4
/
ATOMIC_SPECIES
La 138.91 La.upf
Dy 162.50 Dy.upf
Bi 208.98 Bi.upf
As 74.92 As.upf
ATOMIC_POSITIONS crystal
La 0.000 0.000 0.000
Dy 0.515 0.515 0.515
Bi 0.762 0.762 0.762
As 0.253 0.253 0.253
CELL_PARAMETERS angstrom
2.198 1.269 7.275
-2.198 1.269 7.275
0.000 -2.538 7.275
```

Energy of formation in eV per atom: -1.227
Theoretical density in g/cm3: 8.0
Total DFT energy (no corrections) in eV/atom: -5.7417

=====

This record from Alexandria describes a geometry-optimized Dy3BiAsN structure. The functional is PBE. Values from VASP.

Structure (Quantum ESPRESSO input):
```
&SYSTEM
  ibrav = 0, nat = 12, ntyp = 4
/
ATOMIC_SPECIES
Dy 162.50 Dy.upf
Bi 208.98 Bi.upf
As 74.92 As.upf
N 14.01 N.upf
ATOMIC_POSITIONS crystal
Dy 0.085 0.250 0.356
Dy 0.349 0.250 0.989
Dy 0.378 0.750 0.669
Dy 0.622 0.250 0.331
Dy 0.651 0.750 0.011
Dy 0.915 0.750 0.644
Bi 0.329 0.750 0.290
Bi 0.671 0.250 0.710
As 0.145 0.250 0.667
As 0.855 0.750 0.333
N 0.408 0.750 0.904
N 0.592 0.250 0.096
CELL_PARAMETERS angstrom
8.885 0.000 0.000
0.000 4.120 0.000
-1.737 0.000 9.084
```

Theoretical density in g/cm3: 7.8
Total DFT energy (no corrections) in eV/atom: -6.3365

=====

This record from Alexandria describes a geometry-optimized Dy4Bi2AsP structure. The functional is PBE. Values from VASP.

Structure (Quantum ESPRESSO input):
```
&SYSTEM
  ibrav = 0, nat = 8, ntyp = 4
/
ATOMIC_SPECIES
Dy 162.50 Dy.upf
Bi 208.98 Bi.upf
As 74.92 As.upf
P 30.97 P.upf
ATOMIC_POSITIONS crystal
Dy 0.236 0.000 0.220
Dy 0.255 0.500 0.777
Dy 0.745 0.500 0.223
Dy 0.764 0.000 0.780
Bi 0.000 0.000 0.500
Bi 0.500 0.500 0.500
As 0.500 0.000 0.000
P 0.000 0.500 0.000
CELL_PARAMETERS angstrom
7.318 0.000 0.000
0.000 4.215 0.000
-2.427 0.000 7.106
```

Energy of formation in eV per atom: -1.181
Theoretical density in g/cm3: 8.9
Total DFT energy (no corrections) in eV/atom: -5.7097

=====

This record from Alexandria describes a geometry-optimized DyBi2As2Pd7 structure. The functional is PBE. Values from VASP.

Structure (Quantum ESPRESSO input):
```
&SYSTEM
  ibrav = 0, nat = 12, ntyp = 4
/
ATOMIC_SPECIES
Dy 162.50 Dy.upf
Bi 208.98 Bi.upf
As 74.92 As.upf
Pd 106.42 Pd.upf
ATOMIC_POSITIONS crystal
Dy 0.000 0.000 0.000
Bi 0.126 0.126 0.392
Bi 0.874 0.874 0.608
As 0.429 0.429 0.750
As 0.571 0.571 0.250
Pd 0.042 0.541 0.149
Pd 0.354 0.354 0.574
Pd 0.459 0.958 0.851
Pd 0.500 0.500 0.000
Pd 0.541 0.042 0.149
Pd 0.646 0.646 0.426
Pd 0.958 0.459 0.851
CELL_PARAMETERS angstrom
2.901 -2.887 0.000
2.901 2.887 0.000
-1.601 0.000 14.227
```

Energy of formation in eV per atom: -0.474
Theoretical density in g/cm3: 10.3
Total DFT energy (no corrections) in eV/atom: -5.3083

=====

This record from Alexandria describes a geometry-optimized DyBi2As2Rh7 structure. The functional is PBE. Values from VASP.

Structure (Quantum ESPRESSO input):
```
&SYSTEM
  ibrav = 0, nat = 12, ntyp = 4
/
ATOMIC_SPECIES
Dy 162.50 Dy.upf
Bi 208.98 Bi.upf
As 74.92 As.upf
Rh 102.91 Rh.upf
ATOMIC_POSITIONS crystal
Dy 0.000 0.000 0.000
Bi 0.121 0.121 0.391
Bi 0.879 0.879 0.609
As 0.413 0.413 0.753
As 0.587 0.587 0.247
Rh 0.052 0.552 0.150
Rh 0.370 0.370 0.576
Rh 0.448 0.948 0.850
Rh 0.500 0.500 0.000
Rh 0.552 0.052 0.150
Rh 0.630 0.630 0.424
Rh 0.948 0.448 0.850
CELL_PARAMETERS angstrom
2.838 -2.836 0.000
2.838 2.836 0.000
-1.999 0.000 14.038
```

Energy of formation in eV per atom: -0.293
Theoretical density in g/cm3: 10.7
Total DFT energy (no corrections) in eV/atom: -6.3870

=====

This record from Alexandria describes a geometry-optimized Dy3BiAs2Rh9 structure. The functional is PBE. Values from VASP.

Structure (Quantum ESPRESSO input):
```
&SYSTEM
  ibrav = 0, nat = 15, ntyp = 4
/
ATOMIC_SPECIES
Dy 162.50 Dy.upf
Bi 208.98 Bi.upf
As 74.92 As.upf
Rh 102.91 Rh.upf
ATOMIC_POSITIONS crystal
Dy 0.000 0.000 0.000
Dy 0.333 0.667 0.754
Dy 0.667 0.333 0.246
Bi 0.000 0.000 0.500
As 0.333 0.667 0.166
As 0.667 0.333 0.834
Rh 0.000 0.500 0.000
Rh 0.143 0.285 0.266
Rh 0.143 0.857 0.266
Rh 0.285 0.143 0.734
Rh 0.500 0.000 0.000
Rh 0.500 0.500 0.000
Rh 0.715 0.857 0.266
Rh 0.857 0.143 0.734
Rh 0.857 0.715 0.734
CELL_PARAMETERS angstrom
6.234 0.000 0.000
-3.117 5.398 0.000
0.000 0.000 9.546
```

Energy of formation in eV per atom: -0.406
Theoretical density in g/cm3: 9.2
Total DFT energy (no corrections) in eV/atom: -6.6158

=====

This record from Alexandria describes a geometry-optimized Dy4Bi2AsS structure. The functional is PBE. Values from VASP.

Structure (Quantum ESPRESSO input):
```
&SYSTEM
  ibrav = 0, nat = 8, ntyp = 4
/
ATOMIC_SPECIES
Dy 162.50 Dy.upf
Bi 208.98 Bi.upf
As 74.92 As.upf
S 32.06 S.upf
ATOMIC_POSITIONS crystal
Dy 0.241 0.000 0.224
Dy 0.258 0.500 0.776
Dy 0.742 0.500 0.224
Dy 0.759 0.000 0.776
Bi 0.000 0.000 0.500
Bi 0.500 0.500 0.500
As 0.500 0.000 0.000
S 0.000 0.500 0.000
CELL_PARAMETERS angstrom
7.306 0.000 0.000
0.000 4.225 0.000
-2.436 0.000 7.015
```

Theoretical density in g/cm3: 9.0
Total DFT energy (no corrections) in eV/atom: -5.6395